(1)
# Sc4Tl2CdCu PBE optimized geometry
# - magnetic moment (μB/f.u.) = 0.65
# - uncorrected energy (eV per atom) = -4.647
# - DFT formation energy (meV per atom) = -263
data_Sc4Tl2CdCu
_chemical_formula_sum 'Sc12 Tl6 Cd3 Cu3'
_cell_length_a 4.9745
_cell_length_b 4.9745
_cell_length_c 24.2577
_cell_angle_alpha 90.00
_cell_angle_beta 90.00
_cell_angle_gamma 120.00
_symmetry_space_group_name_H-M 'R -3 m'
_symmetry_Int_Tables_number 166
_symmetry_space_group_name_Hall '-R 3 2"'
loop_
_atom_site_label
_atom_site_fract_x
_atom_site_fract_y
_atom_site_fract_z
_atom_site_occupancy
Sc1 0.0000 0.0000 0.1188 1
Sc2 0.0000 0.0000 0.3704 1
Tl1 0.0000 0.0000 0.2476 1
Cd1 0.0000 0.0000 0.5000 1
Cu1 0.0000 0.0000 0.0000 1

---

(2)
# TmScCdCu PBE optimized geometry
# - magnetic moment (μB/f.u.) = 0.00
# - uncorrected energy (eV per atom) = -4.238
# - E above lowest polymorph (eV/f.u.) = 0.00
# - DFT formation energy (meV per atom) = -284
data_TmScCdCu
_chemical_formula_sum 'Tm1 Sc1 Cd1 Cu1'
_cell_length_a 3.375
_cell_length_b 3.375
_cell_length_c 7.432
_cell_angle_alpha 90.00
_cell_angle_beta 90.00
_cell_angle_gamma 90.00
_symmetry_space_group_name_H-M 'P 4 m m'
_symmetry_Int_Tables_number 99
_symmetry_space_group_name_Hall 'P 4 -2'
loop_
_atom_site_label
_atom_site_fract_x
_atom_site_fract_y
_atom_site_fract_z
_atom_site_occupancy
Tm1 0.000 0.000 0.000 1
Sc1 0.000 0.000 0.561 1
Cd1 0.500 0.500 0.295 1
Cu1 0.500 0.500 0.762 1

---

(3)
# TmScCdCu PBE optimized geometry
# - magnetic moment (μB/f.u.) = 0.00
# - uncorrected energy (eV per atom) = -4.174
# - E above lowest polymorph (eV/f.u.) = 0.26
# - DFT formation energy (meV per atom) = -221
data_TmScCdCu
_chemical_formula_sum 'Tm4 Sc4 Cd4 Cu4'
_cell_length_a 6.993
_cell_length_b 6.993
_cell_length_c 6.993
_cell_angle_alpha 90.00
_cell_angle_beta 90.00
_cell_angle_gamma 90.00
_symmetry_space_group_name_H-M 'F -4 3 m'
_symmetry_Int_Tables_number 216
_symmetry_space_group_name_Hall 'F -4 2 3'
loop_
_atom_site_label
_atom_site_fract_x
_atom_site_fract_y
_atom_site_fract_z
_atom_site_occupancy
Tm1 0.000 0.000 0.000 1
Sc1 0.000 0.000 0.500 1
Cd1 0.250 0.250 0.750 1
Cu1 0.250 0.250 0.250 1

---

> Number 1 is which compound?

Sc4Tl2CdCu

---

> Which of these has the lowest uncorrected energy?

Sc4Tl2CdCu

---

> Look up the magnetic moment of the third one.

0.00 μB/f.u.